Computed, not measured: crystalline CoMoRh3 at its relaxed geometry at the GGA-PBE level of DFT.

a b c (Å): 4.644 4.644 4.644
angles (deg): 90.00 90.00 90.00
Fractional positions:
Co  0.500  0.500  0.500
Mo  0.000  0.000  0.000
Rh  0.000  0.500  0.000
Rh  0.000  0.000  0.500
Rh  0.500  0.000  0.000

Output
Magnetic moment = 2.317 Bohr magnetons per cell
DFT formation energy = 1.4249 eV per atom
Total energy = -32.87 eV per cell
ΔE to the lowest computed polymorph = 0.165 eV/atom